A geometry-optimized RbPRh3 structure. Source: the Alexandria database, functional PBE-GGA.

a = 4.8106 Å, b = 4.8106 Å, c = 4.8106 Å
α = 90.00°, β = 90.00°, γ = 90.00°
With the nearest neighbours (Å) after each atom.
Space group Pm-3m (No. 221)
Inequivalent atoms, fractional coordinates:
Rb  0.0000  0.0000  0.0000 (multiplicity 1)  6 Rh 2.41
P  0.5000  0.5000  0.5000 (multiplicity 1)  12 Rh 3.40
Rh  0.0000  0.0000  0.5000 (multiplicity 3)  2 Rb 2.41

Energy above the lowest structure with this stoichiometry ... 2387 meV/atom
ΔH_f (0 K) ... 2508 meV per atom
DOS at the Fermi energy ... 10.34 states/eV/f.u.